Cs2MnO4 | PBEsol | optimized geometry

size of the total moment = 1.0 μB per formula unit
E = -6.35 eV per atom
DOS(E_F) = 11.6 states/eV per cell

a = 6.1350 Å, b = 6.4739 Å, c = 8.3073 Å
α = 90.00°, β = 90.00°, γ = 118.28°
With the nearest neighbours (Å) after each atom.
Positions (direct):
1 O 0.9035 0.2492 0.3047  1 Mn 1.64
2 O 0.6874 0.3748 0.9115  1 Mn 1.65
3 O 0.0965 0.7508 0.8047  1 Mn 1.64
4 O 0.3457 0.2492 0.3047  1 Mn 1.64
5 O 0.3126 0.6252 0.4115  1 Mn 1.65
6 O 0.1080 0.2161 0.5796  1 Mn 1.65
7 O 0.6543 0.7508 0.8047  1 Mn 1.64
8 O 0.8920 0.7839 0.0796  1 Mn 1.65
9 Mn 0.8321 0.6642 0.8995  4 O 1.64-1.65
10 Mn 0.1679 0.3358 0.3995  4 O 1.64-1.65
11 Cs 0.8462 0.6925 0.4211  5 O 2.88-3.20
12 Cs 0.4694 0.9389 0.1056  8 O 2.96-3.21
13 Cs 0.5306 0.0611 0.6056  8 O 2.96-3.21
14 Cs 0.1538 0.3075 0.9211  5 O 2.88-3.20